Entry 1:
# DyGeBrN2 | Alexandria | PBE-GGA | optimized geometry
data_DyGeBrN2
_cell_length_a 7.024
_cell_length_b 3.563
_cell_length_c 8.078
_cell_angle_alpha 90.00
_cell_angle_beta 103.59
_cell_angle_gamma 90.00
_symmetry_space_group_name_H-M 'P 1 21/m 1'
_symmetry_Int_Tables_number 11
_symmetry_space_group_name_Hall '-P 2yb'
loop_
_atom_site_label
_atom_site_type_symbol
_atom_site_fract_x
_atom_site_fract_y
_atom_site_fract_z
_atom_site_occupancy
Dy1 Dy 0.203 0.250 0.482 1
Ge1 Ge 0.043 0.250 0.880 1
Br1 Br 0.481 0.750 0.710 1
N1 N 0.028 0.750 0.356 1
N2 N 0.127 0.750 0.966 1
# - magnetization (μB per atom) = 0.00

Entry 2:
# NaDyGe2Br8 | Alexandria | PBE-GGA | optimized geometry
data_NaDyGe2Br8
_cell_length_a 6.610
_cell_length_b 7.023
_cell_length_c 8.541
_cell_angle_alpha 88.51
_cell_angle_beta 89.14
_cell_angle_gamma 87.91
_symmetry_space_group_name_H-M 'P -1'
_symmetry_Int_Tables_number 2
_symmetry_space_group_name_Hall '-P 1'
loop_
_atom_site_label
_atom_site_type_symbol
_atom_site_fract_x
_atom_site_fract_y
_atom_site_fract_z
_atom_site_occupancy
Na1 Na 0.000 0.000 0.000 1
Dy1 Dy 0.000 0.000 0.500 1
Ge1 Ge 0.473 0.474 0.242 1
Br1 Br 0.228 0.825 0.261 1
Br2 Br 0.247 0.323 0.481 1
Br3 Br 0.250 0.848 0.740 1
Br4 Br 0.276 0.348 0.017 1
# - magnetization (μB per atom) = 0.00

no.,raw total energy (eV per atom)
1,-6.345
2,-3.512